--- i ---
VASP calculation (PBE-GGA) on a relaxed structure of Ce3Nd2N4.

Crystal system ... orthorhombic

```
Ce3Nd2N4
1.0
-2.784 4.820 0.504
-2.263 -1.951 4.724
7.130 0.895 0.554
Ce Nd N
3 2 4
direct
0.000 0.500 0.000
0.500 0.000 0.000
0.000 0.000 0.000
0.720 0.720 0.441
0.280 0.280 0.559
0.888 0.354 0.242
0.646 0.112 0.758
0.112 0.646 0.758
0.354 0.888 0.242
```

--- ii ---
VASP calculation (PBE-GGA) on a relaxed structure of Ce3Nd2N4.

Crystal system ... monoclinic

```
Ce3Nd2N4
1.0
0.287 3.556 0.288
-4.710 1.881 3.707
3.409 0.937 7.282
Ce Nd N
3 2 4
direct
0.206 0.397 0.190
0.000 0.000 0.000
0.794 0.603 0.810
0.394 0.823 0.389
0.606 0.177 0.611
0.606 0.698 0.089
0.798 0.111 0.293
0.394 0.302 0.911
0.202 0.889 0.707
```

The least stable of them is i.

--- i ---
VASP calculation (PBE-GGA) on a relaxed structure of CeNpN.

Crystal system ... trigonal

```
CeNpN
1.0
3.472 0.000 0.000
-1.736 3.007 0.000
0.000 0.000 4.865
Ce N Np
1 1 1
direct
0.333 0.667 0.696
0.000 0.000 0.017
0.667 0.333 0.286
```

--- ii ---
VASP calculation (PBE-GGA) on a relaxed structure of CeNpN.

Crystal system ... monoclinic

```
CeNpN
1.0
-1.385 -2.498 3.594
2.908 0.672 1.587
-2.544 5.030 2.532
Ce Np N
2 2 2
direct
0.709 0.250 0.103
0.291 0.750 0.897
0.336 0.250 0.431
0.664 0.750 0.569
0.012 0.750 0.280
0.988 0.250 0.720
```

The least stable of them is i.

--- i ---
VASP calculation (PBE-GGA) on a relaxed structure of Ce3NpN6.

Crystal system ... trigonal

```
Ce3NpN6
1.0
-2.310 -5.545 -3.297
4.824 -3.677 3.188
-4.417 -0.990 5.144
Ce N Np
6 12 2
direct
0.058 0.554 0.251
0.251 0.058 0.554
0.554 0.251 0.058
0.446 0.749 0.942
0.942 0.446 0.749
0.749 0.942 0.446
0.700 0.946 0.082
0.946 0.082 0.700
0.918 0.300 0.054
0.082 0.700 0.946
0.054 0.918 0.300
0.406 0.533 0.199
0.594 0.467 0.801
0.300 0.054 0.918
0.533 0.199 0.406
0.801 0.594 0.467
0.467 0.801 0.594
0.199 0.406 0.533
0.000 0.000 0.000
0.500 0.500 0.500
```

--- ii ---
VASP calculation (PBE-GGA) on a relaxed structure of Ce3NpN6.

Crystal system ... orthorhombic

```
Ce3NpN6
1.0
-4.601 -0.183 -3.483
-0.971 -7.160 1.659
-4.092 3.288 5.234
N Ce Np
12 6 2
direct
0.240 0.035 0.965
0.174 0.101 0.602
0.691 0.649 0.664
0.674 0.602 0.101
0.691 0.336 0.351
0.174 0.398 0.899
0.674 0.899 0.398
0.191 0.351 0.336
0.191 0.664 0.649
0.194 0.771 0.229
0.740 0.965 0.035
0.694 0.229 0.771
0.918 0.603 0.397
0.460 0.342 0.105
0.960 0.105 0.342
0.418 0.397 0.603
0.960 0.658 0.895
0.460 0.895 0.658
0.982 0.147 0.853
0.482 0.853 0.147
```

The least stable of them is ii.

--- i ---
VASP calculation (PBE-GGA) on a relaxed structure of CeNO.

Crystal system ... cubic

```
CeNO
1.0
3.902 0.000 0.000
1.951 3.379 0.000
1.951 1.126 3.186
N O Ce
1 1 1
direct
0.500 0.500 0.500
0.000 0.000 0.000
0.250 0.250 0.250
```

--- ii ---
VASP calculation (PBE-GGA) on a relaxed structure of CeNO.

Crystal system ... tetragonal

```
CeNO
1.0
-1.872 2.566 -0.843
-1.994 -2.005 -1.674
-2.465 -1.347 7.776
O N Ce
2 2 2
direct
0.700 0.700 0.399
0.300 0.300 0.601
0.538 0.538 0.077
0.462 0.462 0.923
0.848 0.848 0.696
0.152 0.152 0.304
```

The least stable of them is i.

--- i ---
VASP calculation (PBE-GGA) on a relaxed structure of Ce3N2O.

Crystal system ... orthorhombic

```
Ce3N2O
1.0
3.402 0.000 -1.030
-0.622 4.542 -2.056
0.005 0.006 6.150
N Ce O
2 3 1
direct
0.168 0.168 0.836
0.832 0.832 0.164
0.169 0.669 0.837
0.831 0.331 0.163
0.500 0.000 0.500
0.500 0.500 0.500
```

--- ii ---
VASP calculation (PBE-GGA) on a relaxed structure of Ce3N2O.

Crystal system ... tetragonal

```
Ce3N2O
1.0
3.413 0.000 0.000
0.000 3.413 0.000
0.000 0.000 10.676
N Ce O
2 3 1
direct
0.000 0.500 0.410
0.500 0.000 0.590
0.000 0.000 0.000
0.500 0.000 0.375
0.000 0.500 0.625
0.500 0.500 0.000
```

The least stable of them is ii.

--- i ---
VASP calculation (PBE-GGA) on a relaxed structure of Ce4N3O.

Crystal system ... cubic

```
Ce4N3O
1.0
-0.054 -4.666 1.876
2.338 -1.684 -4.123
4.453 0.828 2.187
Ce N O
4 3 1
direct
0.000 0.000 0.500
0.000 0.500 0.000
0.500 0.500 0.500
0.500 0.000 0.000
0.500 0.500 0.000
0.000 0.500 0.500
0.500 0.000 0.500
0.000 0.000 0.000
```

--- ii ---
VASP calculation (PBE-GGA) on a relaxed structure of Ce4N3O.

Crystal system ... orthorhombic

```
Ce4N3O
1.0
3.554 -0.044 0.060
0.045 5.912 1.723
-0.100 0.340 6.148
Ce N O
4 3 1
direct
0.000 0.753 0.747
0.000 0.248 0.252
0.500 0.249 0.749
0.500 0.751 0.251
0.000 0.500 0.500
0.000 0.000 0.000
0.500 0.000 0.500
0.500 0.500 0.000
```

The least stable of them is i.

--- i ---
VASP calculation (PBE-GGA) on a relaxed structure of Ce2OsN.

Crystal system ... trigonal

```
Ce2OsN
1.0
3.712 0.000 0.000
1.856 3.215 0.000
1.856 1.072 6.525
Os N Ce
1 1 2
direct
0.000 0.000 0.000
0.500 0.500 0.500
0.760 0.760 0.720
0.240 0.240 0.280
```

--- ii ---
VASP calculation (PBE-GGA) on a relaxed structure of Ce2OsN.

Crystal system ... monoclinic

```
Ce2OsN
1.0
5.462 0.000 0.000
0.000 5.491 -0.139
0.000 -1.066 10.308
N Ce Os
4 8 4
direct
0.852 0.430 0.375
0.148 0.570 0.625
0.852 0.070 0.125
0.148 0.930 0.875
0.720 0.552 0.592
0.170 0.998 0.654
0.830 0.002 0.346
0.170 0.502 0.846
0.830 0.498 0.154
0.280 0.052 0.092
0.280 0.448 0.408
0.720 0.948 0.908
0.655 0.074 0.624
0.655 0.426 0.876
0.345 0.926 0.376
0.345 0.574 0.124
```

The least stable of them is i.

--- i ---
VASP calculation (PBE-GGA) on a relaxed structure of CePa2N.

Crystal system ... tetragonal

```
CePa2N
1.0
-0.905 -2.512 -1.379
2.172 -1.544 1.388
-5.364 -1.663 6.548
Ce Pa N
1 2 1
direct
0.500 0.500 0.500
0.000 0.000 0.826
0.000 0.000 0.174
0.500 0.500 0.000
```

--- ii ---
VASP calculation (PBE-GGA) on a relaxed structure of CePa2N.

Crystal system ... trigonal

```
CePa2N
1.0
3.841 0.000 0.000
1.921 3.326 0.000
1.921 1.109 5.933
Pa N Ce
2 1 1
direct
0.232 0.232 0.304
0.768 0.768 0.696
0.500 0.500 0.500
0.000 0.000 0.000
```

The least stable of them is ii.

--- i ---
VASP calculation (PBE-GGA) on a relaxed structure of Ce2PaN3.

Crystal system ... monoclinic

```
Ce2PaN3
1.0
6.130 0.171 0.295
-1.182 6.018 -0.214
-1.182 -3.169 5.121
N Ce Pa
6 4 2
direct
0.000 0.500 0.000
0.503 0.350 0.197
0.497 0.650 0.803
0.500 0.000 0.500
0.997 0.803 0.650
0.003 0.197 0.350
0.250 0.917 0.083
0.750 0.083 0.917
0.250 0.247 0.753
0.750 0.753 0.247
0.250 0.585 0.415
0.750 0.415 0.585
```

--- ii ---
VASP calculation (PBE-GGA) on a relaxed structure of Ce2PaN3.

Crystal system ... monoclinic

```
Ce2PaN3
1.0
-0.158 2.867 1.979
-6.012 -0.077 -3.441
-0.913 -4.900 7.025
N Pa Ce
6 2 4
direct
0.378 0.756 0.484
0.622 0.244 0.516
0.977 0.954 0.192
0.023 0.046 0.808
0.319 0.637 0.873
0.681 0.363 0.127
0.000 0.000 0.500
0.500 0.000 0.000
0.329 0.658 0.165
0.829 0.658 0.661
0.671 0.342 0.835
0.171 0.342 0.339
```

The least stable of them is ii.

--- i ---
VASP calculation (PBE-GGA) on a relaxed structure of Ce2Pa3N8.

Crystal system ... monoclinic

```
Ce2Pa3N8
1.0
-0.838 0.751 -3.545
-4.463 -8.524 -0.751
-4.039 4.764 1.964
N Ce Pa
8 2 3
direct
0.500 0.810 0.119
0.500 0.584 0.710
0.500 0.416 0.290
0.000 0.857 0.800
0.000 0.143 0.200
0.500 0.190 0.881
0.000 0.605 0.227
0.000 0.395 0.773
0.500 0.325 0.568
0.500 0.675 0.432
0.500 0.000 0.000
0.000 0.671 0.932
0.000 0.329 0.068
```

--- ii ---
VASP calculation (PBE-GGA) on a relaxed structure of Ce2Pa3N8.

Crystal system ... monoclinic

```
Ce2Pa3N8
1.0
5.929 0.000 0.218
0.000 6.923 0.000
-2.166 -3.462 5.281
Pa N Ce
3 8 2
direct
0.000 0.257 0.000
0.000 0.743 0.000
0.500 0.000 0.000
0.396 0.912 0.248
0.884 0.596 0.192
0.396 0.336 0.248
0.604 0.664 0.752
0.604 0.088 0.752
0.086 0.900 0.799
0.914 0.100 0.201
0.116 0.404 0.808
0.627 0.710 0.419
0.373 0.290 0.581
```

The least stable of them is ii.

--- i ---
VASP calculation (PBE-GGA) on a relaxed structure of CePa2N4.

Crystal system ... tetragonal

```
CePa2N4
1.0
-2.706 -4.632 3.431
6.318 -0.530 0.586
-1.700 5.793 2.024
Pa Ce N
4 2 8
direct
0.375 0.886 0.761
0.875 0.114 0.489
0.511 0.386 0.625
0.239 0.614 0.125
0.000 0.000 0.000
0.750 0.500 0.250
0.143 0.888 0.389
0.607 0.746 0.995
0.249 0.254 0.861
0.501 0.112 0.255
0.745 0.246 0.857
0.005 0.612 0.751
0.611 0.754 0.499
0.139 0.388 0.393
```

--- ii ---
VASP calculation (PBE-GGA) on a relaxed structure of CePa2N4.

Crystal system ... orthorhombic

```
CePa2N4
1.0
-0.053 1.666 -3.038
1.685 -5.675 -1.164
-10.375 -2.802 -1.354
Pa N Ce
4 8 2
direct
0.869 0.738 0.929
0.869 0.738 0.571
0.131 0.262 0.429
0.131 0.262 0.071
0.033 0.066 0.250
0.500 0.000 0.000
0.229 0.459 0.894
0.771 0.541 0.106
0.771 0.541 0.394
0.967 0.934 0.750
0.229 0.459 0.606
0.500 0.000 0.500
0.389 0.777 0.250
0.611 0.223 0.750
```

The least stable of them is i.